# LiMn5O3F5

A relaxed LiMn5O3F5 crystal (PBE+U, the Alexandria database).

## Properties
**Energy above the most stable polymorph in this dataset**: 5 meV/atom
**Final energy**: -188.41 eV for the cell shown

Lattice parameters (Å, degrees): 11.110 6.360 6.386 90.00 124.79 90.00
Space group Cm (No. 8)
One atom of each set of equivalent atoms:
Li 0.000 0.000 0.000 x2
Mn 0.126 0.500 0.337 x2
Mn 0.231 0.238 0.986 x4
Mn 0.323 0.000 0.573 x2
Mn 0.481 0.500 0.478 x2
O 0.206 0.000 0.729 x2
O 0.216 0.000 0.196 x2
O 0.255 0.500 0.211 x2
F 0.236 0.500 0.734 x2
F 0.476 0.260 0.732 x4
F 0.482 0.259 0.212 x4